LaSmEr3 | Alexandria via LeMat-Bulk | GGA-PBE | optimized geometry; total DFT energy (no corrections) = -45.9 eV/cell; energy of formation = 0.08 eV per atom; space-group type = P-1
1.0
-5.802 3.106 -1.294
2.396 -8.479 -4.806
-5.180 2.837 6.803
La Sm Er
2 2 6
Cartesian
-4.292 1.607 0.443 La
-4.294 -4.144 0.261 La
-4.259 1.514 4.593 Sm
-4.328 -4.051 -3.889 Sm
-1.586 -3.878 -1.826 Er
-6.794 -1.209 0.312 Er
-4.199 -1.225 -1.962 Er
-4.387 -1.311 2.666 Er
-7.001 1.341 2.530 Er
-1.793 -1.328 0.392 Er



LaSmErSn | Alexandria via LeMat-Bulk | GGA-PBE | optimized geometry; total DFT energy (no corrections) = -19.3 eV/cell; energy of formation = -0.27 eV per atom; space-group type = F-43m
1.0
-1.503 -3.522 -4.005
3.675 -1.558 -3.843
1.965 -5.180 -0.015
La Sn Sm Er
1 1 1 1
Cartesian
3.103 -7.695 -5.897 La
2.069 -5.130 -3.931 Sn
1.034 -2.565 -1.966 Sm
0.000 0.000 0.000 Er



LaTb2Sm5Er | Alexandria via LeMat-Bulk | GGA-PBE | optimized geometry; total DFT energy (no corrections) = -79.5 eV/cell; energy of formation = 0.29 eV per atom; space-group type = I4/mcm
1.0
9.245 0.000 0.000
0.000 9.245 0.000
-4.623 -4.623 7.257
La Tb Sm Er
2 4 10 2
Cartesian
0.000 0.000 3.629 La
4.623 4.623 3.629 La
1.023 3.599 0.000 Tb
5.646 1.023 0.000 Tb
3.599 8.222 0.000 Tb
8.222 5.646 0.000 Tb
7.365 2.742 1.896 Sm
2.742 -1.880 5.361 Sm
-2.742 1.880 5.361 Sm
-1.880 -2.742 5.361 Sm
1.880 2.742 5.361 Sm
6.503 7.365 1.896 Sm
2.742 1.880 1.896 Sm
1.880 6.503 1.896 Sm
4.623 4.623 0.000 Sm
0.000 0.000 0.000 Sm
0.000 4.623 3.629 Er
4.623 0.000 3.629 Er



La2TbSm4Er | Alexandria via LeMat-Bulk | GGA-PBE | optimized geometry; total DFT energy (no corrections) = -37.7 eV/cell; energy of formation = 0.03 eV per atom; space-group type = P2/m
1.0
5.147 0.000 0.000
0.000 5.057 0.836
0.000 3.391 11.020
La Tb Sm Er
2 1 4 1
Cartesian
0.000 3.391 11.020 La
2.573 1.696 5.510 La
2.573 2.528 0.418 Tb
0.000 6.341 8.880 Sm
5.147 2.107 2.976 Sm
2.573 4.640 3.383 Sm
2.573 3.808 8.473 Sm
0.000 4.224 5.928 Er



Q: Which value of total DFT energy (no corrections) does entry 1 give?
A: -45.9 eV/cell